VASP calculation (PBE) on crystalline PRu2Se at its relaxed geometry.

Cell lengths 2.9354, 2.9354, 7.8189 Å; angles 90.00, 90.00, 90.00 degrees
Positions (direct):
P  0.0000  0.0000  0.0000
Ru  0.0000  0.0000  0.4183
Ru  0.5000  0.5000  0.1538
Se  0.5000  0.5000  0.5954

***

VASP calculation (PBE) on crystalline PRu2Se at its relaxed geometry.

Cell lengths 4.3929, 4.3929, 4.3929 Å; angles 60.00, 60.00, 60.00 degrees
Positions (direct):
P  0.0000  0.0000  0.0000
Ru  0.5000  0.5000  0.5000
Ru  0.7500  0.7500  0.7500
Se  0.2500  0.2500  0.2500

***

VASP calculation (PBE) on crystalline PRu2Se at its relaxed geometry.

Cell lengths 4.2944, 4.2944, 3.0682 Å; angles 90.00, 90.00, 90.00 degrees
Positions (direct):
P  0.0000  0.0000  0.0000
Ru  0.0000  0.5000  0.5000
Ru  0.5000  0.0000  0.5000
Se  0.5000  0.5000  0.0000

***

| no. | formation energy without anion corrections (eV/f.u.) | N(E_F) (states/eV/f.u.) |
| --- | --- | --- |
| 1 | -0.36 | 2.6 |
| 2 | 2.66 | 3.9 |
| 3 | 0.41 | 4.2 |